# 1
# PuTh2Rh9, optimized geometry, DFT GGA-PBE
# - electronic total energy (eV per cell) = -102.64
# - density of states at the Fermi level (states/eV/f.u.) = 19.60
data_PuTh2Rh9
_cell_length_a 4.108
_cell_length_b 4.108
_cell_length_c 12.274
_cell_angle_alpha 90.00
_cell_angle_beta 90.00
_cell_angle_gamma 90.00
_space_group_name_H-M_alt 'P 4/m m m'
_space_group_IT_number 123
_space_group_name_Hall '-P 4 2'
loop_
_atom_site_label
_atom_site_fract_x
_atom_site_fract_y
_atom_site_fract_z
_atom_site_occupancy
Pu1 0.000 0.000 0.000 1
Th1 0.000 0.000 0.332 1
Rh1 0.000 0.500 0.157 1
Rh2 0.000 0.500 0.500 1
Rh3 0.500 0.500 0.000 1
Rh4 0.500 0.500 0.330 1

# 2
# Li2LaTc, optimized geometry, DFT GGA-PBE
# - electronic total energy (eV per cell) = -35.50
# - density of states at the Fermi level (states/eV/f.u.) = 2.22
data_Li2LaTc
_cell_length_a 3.478
_cell_length_b 5.207
_cell_length_c 8.744
_cell_angle_alpha 90.00
_cell_angle_beta 90.00
_cell_angle_gamma 90.00
_space_group_name_H-M_alt 'I m m 2'
_space_group_IT_number 44
_space_group_name_Hall 'I 2 -2'
loop_
_atom_site_label
_atom_site_fract_x
_atom_site_fract_y
_atom_site_fract_z
_atom_site_occupancy
Li1 0.000 0.000 0.000 1
Li2 0.000 0.500 0.251 1
La1 0.000 0.000 0.454 1
Tc1 0.000 0.500 0.741 1

# 3
# CaTcH2Os, optimized geometry, DFT GGA-PBE
# - electronic total energy (eV per cell) = -24.35
# - density of states at the Fermi level (states/eV/f.u.) = 4.00
data_CaTcH2Os
_cell_length_a 3.609
_cell_length_b 3.609
_cell_length_c 6.387
_cell_angle_alpha 90.00
_cell_angle_beta 90.00
_cell_angle_gamma 90.00
_space_group_name_H-M_alt 'P 4/m m m'
_space_group_IT_number 123
_space_group_name_Hall '-P 4 2'
loop_
_atom_site_label
_atom_site_fract_x
_atom_site_fract_y
_atom_site_fract_z
_atom_site_occupancy
Ca1 0.000 0.000 0.000 1
Tc1 0.000 0.000 0.500 1
H1 0.000 0.500 0.000 1
Os1 0.500 0.500 0.500 1

| no. | volume (Å³/f.u.) |
| --- | --- |
| 1 | 207 |
| 2 | 79 |
| 3 | 83 |